(1)
Compound: Ho5Ni2Hg2
Source: Alexandria
Functional: PBE
Structure: relaxed

Unit cell a=8.7188 b=8.7188 c=7.4523 alpha=90.00 beta=90.00 gamma=50.04
With the nearest neighbours (Å) after each atom.
Atoms (fractional coordinates):
Ho 0.0000 0.0000 0.0000  4 Ni 2.94-2.95
Ho 0.0549 0.7048 0.6735  3 Ni 2.86-2.94, 3 Hg 3.13-3.16
Ho 0.2048 0.5549 0.1735  3 Ni 2.86-2.94, 3 Hg 3.13-3.16
Ho 0.2952 0.9451 0.6735  3 Ni 2.86-2.94, 3 Hg 3.13-3.16
Ho 0.4451 0.7952 0.1735  3 Ni 2.86-2.94, 3 Hg 3.13-3.16
Ho 0.5000 0.5000 0.5000  4 Ni 2.94-2.95
Ho 0.5549 0.2048 0.8265  3 Ni 2.86-2.94, 3 Hg 3.13-3.16
Ho 0.7048 0.0549 0.3265  3 Ni 2.86-2.94, 3 Hg 3.13-3.16
Ho 0.7952 0.4451 0.8265  3 Ni 2.86-2.94, 3 Hg 3.13-3.16
Ho 0.9451 0.2952 0.3265  3 Ni 2.86-2.94, 3 Hg 3.13-3.16
Ni 0.1207 0.8793 0.3779  1 Ni 2.55
Ni 0.3793 0.6207 0.8779  1 Ni 2.55
Ni 0.6207 0.3793 0.1221  1 Ni 2.55
Ni 0.8793 0.1207 0.6221  1 Ni 2.55
Hg 0.2175 0.2175 0.0000  7 Ho 3.13-3.44
Hg 0.2825 0.2825 0.5000  7 Ho 3.13-3.44
Hg 0.7175 0.7175 0.5000  7 Ho 3.13-3.44
Hg 0.7825 0.7825 0.0000  7 Ho 3.13-3.44

## Properties
**Formation energy from the elements**: -0.396 eV per atom

(2)
Compound: Ho2NiHg
Source: Alexandria
Functional: PBE
Structure: relaxed

Unit cell a=3.8917 b=3.8917 c=22.8054 alpha=90.00 beta=90.00 gamma=120.00
With the nearest neighbours (Å) after each atom.
Atoms (fractional coordinates):
Ho 0.0000 0.0000 0.2327  3 Ni 2.70
Ho 0.0000 0.0000 0.7673  3 Ni 2.70
Ho 0.3333 0.6667 0.4340  3 Ni 2.70
Ho 0.3333 0.6667 0.8993  3 Ni 2.70
Ho 0.6667 0.3333 0.1007  3 Ni 2.70
Ho 0.6667 0.3333 0.5660  3 Ni 2.70
Ni 0.0000 0.0000 0.5000  6 Ho 2.70
Ni 0.3333 0.6667 0.1667  6 Ho 2.70
Ni 0.6667 0.3333 0.8333  6 Ho 2.70
Hg 0.0000 0.0000 0.0000  6 Ho 3.21
Hg 0.3333 0.6667 0.6667  6 Ho 3.21
Hg 0.6667 0.3333 0.3333  6 Ho 3.21

## Properties
**Formation energy from the elements**: -0.348 eV per atom

(3)
Compound: HoNiHg
Source: Alexandria
Functional: PBE
Structure: relaxed

Unit cell a=4.5313 b=4.5313 c=3.4572 alpha=90.00 beta=90.00 gamma=120.00
With the nearest neighbours (Å) after each atom.
Atoms (fractional coordinates):
Ho 0.0000 0.0000 0.0000  6 Hg 3.14, 6 Ni 3.14, 2 Ho 3.46
Ni 0.3333 0.6667 0.5000  3 Hg 2.62
Hg 0.6667 0.3333 0.5000  3 Ni 2.62

## Properties
**Formation energy from the elements**: -0.310 eV per atom

(4)
Compound: PrHoNiHg
Source: Alexandria
Functional: PBE
Structure: relaxed

Unit cell a=7.2801 b=7.2801 c=7.2801 alpha=90.00 beta=90.00 gamma=90.00
With the nearest neighbours (Å) after each atom.
Atoms (fractional coordinates):
Pr 0.0000 0.0000 0.0000  4 Hg 3.15, 4 Ni 3.15
Pr 0.0000 0.5000 0.5000  4 Hg 3.15, 4 Ni 3.15
Pr 0.5000 0.0000 0.5000  4 Hg 3.15, 4 Ni 3.15
Pr 0.5000 0.5000 0.0000  4 Hg 3.15, 4 Ni 3.15
Ho 0.0000 0.0000 0.5000  4 Hg 3.15, 4 Ni 3.15
Ho 0.0000 0.5000 0.0000  4 Hg 3.15, 4 Ni 3.15
Ho 0.5000 0.0000 0.0000  4 Hg 3.15, 4 Ni 3.15
Ho 0.5000 0.5000 0.5000  4 Hg 3.15, 4 Ni 3.15
Ni 0.2500 0.2500 0.7500  4 Pr 3.15, 4 Ho 3.15
Ni 0.2500 0.7500 0.2500  4 Pr 3.15, 4 Ho 3.15
Ni 0.7500 0.2500 0.2500  4 Pr 3.15, 4 Ho 3.15
Ni 0.7500 0.7500 0.7500  4 Pr 3.15, 4 Ho 3.15
Hg 0.2500 0.2500 0.2500  4 Pr 3.15, 4 Ho 3.15
Hg 0.2500 0.7500 0.7500  4 Pr 3.15, 4 Ho 3.15
Hg 0.7500 0.2500 0.7500  4 Pr 3.15, 4 Ho 3.15
Hg 0.7500 0.7500 0.2500  4 Pr 3.15, 4 Ho 3.15

## Properties
**Formation energy from the elements**: -0.295 eV per atom

(5)
Compound: HoPuNiHg
Source: Alexandria
Functional: PBE
Structure: relaxed

Unit cell a=7.1650 b=7.1650 c=7.1650 alpha=90.00 beta=90.00 gamma=90.00
With the nearest neighbours (Å) after each atom.
Atoms (fractional coordinates):
Ho 0.0000 0.0000 0.0000  4 Hg 3.10, 4 Ni 3.10
Ho 0.0000 0.5000 0.5000  4 Hg 3.10, 4 Ni 3.10
Ho 0.5000 0.0000 0.5000  4 Hg 3.10, 4 Ni 3.10
Ho 0.5000 0.5000 0.0000  4 Hg 3.10, 4 Ni 3.10
Pu 0.0000 0.0000 0.5000  4 Ni 3.10, 4 Hg 3.10
Pu 0.0000 0.5000 0.0000  4 Ni 3.10, 4 Hg 3.10
Pu 0.5000 0.0000 0.0000  4 Ni 3.10, 4 Hg 3.10
Pu 0.5000 0.5000 0.5000  4 Ni 3.10, 4 Hg 3.10
Ni 0.2500 0.2500 0.7500  4 Ho 3.10, 4 Pu 3.10
Ni 0.2500 0.7500 0.2500  4 Ho 3.10, 4 Pu 3.10
Ni 0.7500 0.2500 0.2500  4 Ho 3.10, 4 Pu 3.10
Ni 0.7500 0.7500 0.7500  4 Ho 3.10, 4 Pu 3.10
Hg 0.2500 0.2500 0.2500  4 Ho 3.10, 4 Pu 3.10
Hg 0.2500 0.7500 0.7500  4 Ho 3.10, 4 Pu 3.10
Hg 0.7500 0.2500 0.7500  4 Ho 3.10, 4 Pu 3.10
Hg 0.7500 0.7500 0.2500  4 Ho 3.10, 4 Pu 3.10

## Properties
**Formation energy from the elements**: -0.120 eV per atom

(6)
Compound: HoNiHgRh
Source: Alexandria
Functional: PBE
Structure: relaxed

Unit cell a=6.5762 b=6.5762 c=6.5762 alpha=90.00 beta=90.00 gamma=90.00
With the nearest neighbours (Å) after each atom.
Atoms (fractional coordinates):
Ho 0.0000 0.0000 0.0000  4 Ni 2.85, 4 Rh 2.85
Ho 0.0000 0.5000 0.5000  4 Ni 2.85, 4 Rh 2.85
Ho 0.5000 0.0000 0.5000  4 Ni 2.85, 4 Rh 2.85
Ho 0.5000 0.5000 0.0000  4 Ni 2.85, 4 Rh 2.85
Ni 0.2500 0.2500 0.2500  4 Hg 2.85, 4 Ho 2.85
Ni 0.2500 0.7500 0.7500  4 Hg 2.85, 4 Ho 2.85
Ni 0.7500 0.2500 0.7500  4 Hg 2.85, 4 Ho 2.85
Ni 0.7500 0.7500 0.2500  4 Hg 2.85, 4 Ho 2.85
Hg 0.0000 0.0000 0.5000  4 Ni 2.85, 4 Rh 2.85
Hg 0.0000 0.5000 0.0000  4 Ni 2.85, 4 Rh 2.85
Hg 0.5000 0.0000 0.0000  4 Ni 2.85, 4 Rh 2.85
Hg 0.5000 0.5000 0.5000  4 Ni 2.85, 4 Rh 2.85
Rh 0.2500 0.2500 0.7500  4 Hg 2.85, 4 Ho 2.85
Rh 0.2500 0.7500 0.2500  4 Hg 2.85, 4 Ho 2.85
Rh 0.7500 0.2500 0.2500  4 Hg 2.85, 4 Ho 2.85
Rh 0.7500 0.7500 0.7500  4 Hg 2.85, 4 Ho 2.85

## Properties
**Formation energy from the elements**: -0.363 eV per atom

(7)
Compound: Ho4Ni2HgRu
Source: Alexandria
Functional: PBE
Structure: relaxed

Unit cell a=8.5612 b=8.5612 c=8.5612 alpha=33.20 beta=33.20 gamma=33.20
With the nearest neighbours (Å) after each atom.
Atoms (fractional coordinates):
Ho 0.1168 0.1168 0.1168  1 Ru 2.83, 3 Ni 2.96, 3 Hg 3.07
Ho 0.3698 0.3698 0.3698  4 Ni 2.83-3.02, 3 Ru 2.96, 1 Hg 3.16
Ho 0.6302 0.6302 0.6302  4 Ni 2.83-3.02, 3 Ru 2.96, 1 Hg 3.16
Ho 0.8832 0.8832 0.8832  1 Ru 2.83, 3 Ni 2.96, 3 Hg 3.07
Ni 0.2532 0.2532 0.2532  7 Ho 2.83-3.02
Ni 0.7468 0.7468 0.7468  7 Ho 2.83-3.02
Hg 0.5000 0.5000 0.5000  8 Ho 3.07-3.16
Ru 0.0000 0.0000 0.0000  8 Ho 2.83-2.96

## Properties
**Formation energy from the elements**: -0.407 eV per atom

(8)
Compound: HoScNiHg
Source: Alexandria
Functional: PBE
Structure: relaxed

Unit cell a=6.9296 b=6.9296 c=6.9296 alpha=90.00 beta=90.00 gamma=90.00
With the nearest neighbours (Å) after each atom.
Atoms (fractional coordinates):
Ho 0.0000 0.0000 0.0000  4 Ni 3.00, 4 Hg 3.00
Ho 0.0000 0.5000 0.5000  4 Ni 3.00, 4 Hg 3.00
Ho 0.5000 0.0000 0.5000  4 Ni 3.00, 4 Hg 3.00
Ho 0.5000 0.5000 0.0000  4 Ni 3.00, 4 Hg 3.00
Sc 0.0000 0.0000 0.5000  4 Hg 3.00, 4 Ni 3.00
Sc 0.0000 0.5000 0.0000  4 Hg 3.00, 4 Ni 3.00
Sc 0.5000 0.0000 0.0000  4 Hg 3.00, 4 Ni 3.00
Sc 0.5000 0.5000 0.5000  4 Hg 3.00, 4 Ni 3.00
Ni 0.2500 0.2500 0.2500  4 Sc 3.00, 4 Ho 3.00
Ni 0.2500 0.7500 0.7500  4 Ho 3.00, 4 Sc 3.00
Ni 0.7500 0.2500 0.7500  4 Ho 3.00, 4 Sc 3.00
Ni 0.7500 0.7500 0.2500  4 Ho 3.00, 4 Sc 3.00
Hg 0.2500 0.2500 0.7500  4 Ho 3.00, 4 Sc 3.00
Hg 0.2500 0.7500 0.2500  4 Ho 3.00, 4 Sc 3.00
Hg 0.7500 0.2500 0.2500  4 Ho 3.00, 4 Sc 3.00
Hg 0.7500 0.7500 0.7500  4 Ho 3.00, 4 Sc 3.00

## Properties
**Formation energy from the elements**: -0.355 eV per atom

(9)
Compound: HoNiSnHg
Source: Alexandria
Functional: PBE
Structure: relaxed

Unit cell a=6.9319 b=6.9319 c=6.9319 alpha=90.00 beta=90.00 gamma=90.00
With the nearest neighbours (Å) after each atom.
Atoms (fractional coordinates):
Ho 0.0000 0.0000 0.0000  4 Ni 3.00, 4 Hg 3.00
Ho 0.0000 0.5000 0.5000  4 Ni 3.00, 4 Hg 3.00
Ho 0.5000 0.0000 0.5000  4 Ni 3.00, 4 Hg 3.00
Ho 0.5000 0.5000 0.0000  4 Ni 3.00, 4 Hg 3.00
Ni 0.2500 0.2500 0.7500  4 Sn 3.00, 4 Ho 3.00
Ni 0.2500 0.7500 0.2500  4 Sn 3.00, 4 Ho 3.00
Ni 0.7500 0.2500 0.2500  4 Sn 3.00, 4 Ho 3.00
Ni 0.7500 0.7500 0.7500  4 Sn 3.00, 4 Ho 3.00
Sn 0.0000 0.0000 0.5000  4 Hg 3.00, 4 Ni 3.00
Sn 0.0000 0.5000 0.0000  4 Hg 3.00, 4 Ni 3.00
Sn 0.5000 0.0000 0.0000  4 Hg 3.00, 4 Ni 3.00
Sn 0.5000 0.5000 0.5000  4 Hg 3.00, 4 Ni 3.00
Hg 0.2500 0.2500 0.2500  4 Ho 3.00, 4 Sn 3.00
Hg 0.2500 0.7500 0.7500  4 Ho 3.00, 4 Sn 3.00
Hg 0.7500 0.2500 0.7500  4 Ho 3.00, 4 Sn 3.00
Hg 0.7500 0.7500 0.2500  4 Ho 3.00, 4 Sn 3.00

## Properties
**Formation energy from the elements**: -0.254 eV per atom

(10)
Compound: TbHoNiHg
Source: Alexandria
Functional: PBE
Structure: relaxed

Unit cell a=7.1355 b=7.1355 c=7.1355 alpha=90.00 beta=90.00 gamma=90.00
With the nearest neighbours (Å) after each atom.
Atoms (fractional coordinates):
Tb 0.0000 0.0000 0.0000  4 Hg 3.09, 4 Ni 3.09
Tb 0.0000 0.5000 0.5000  4 Hg 3.09, 4 Ni 3.09
Tb 0.5000 0.0000 0.5000  4 Hg 3.09, 4 Ni 3.09
Tb 0.5000 0.5000 0.0000  4 Hg 3.09, 4 Ni 3.09
Ho 0.0000 0.0000 0.5000  4 Hg 3.09, 4 Ni 3.09
Ho 0.0000 0.5000 0.0000  4 Hg 3.09, 4 Ni 3.09
Ho 0.5000 0.0000 0.0000  4 Hg 3.09, 4 Ni 3.09
Ho 0.5000 0.5000 0.5000  4 Ni 3.09, 4 Hg 3.09
Ni 0.2500 0.2500 0.7500  4 Tb 3.09, 4 Ho 3.09
Ni 0.2500 0.7500 0.2500  4 Tb 3.09, 4 Ho 3.09
Ni 0.7500 0.2500 0.2500  4 Tb 3.09, 4 Ho 3.09
Ni 0.7500 0.7500 0.7500  4 Ho 3.09, 4 Tb 3.09
Hg 0.2500 0.2500 0.2500  4 Tb 3.09, 4 Ho 3.09
Hg 0.2500 0.7500 0.7500  4 Tb 3.09, 4 Ho 3.09
Hg 0.7500 0.2500 0.7500  4 Tb 3.09, 4 Ho 3.09
Hg 0.7500 0.7500 0.2500  4 Tb 3.09, 4 Ho 3.09

## Properties
**Formation energy from the elements**: -0.360 eV per atom

Q: Number 9 is which compound?
A: HoNiSnHg